Record 1
{"formula": "Fe5As3", "functional": "PBE", "state": "optimized geometry", "space_group": "P6_3/mcm (193)", "e_above_lowest_polymorph_mev_per_atom": 35, "cell": [[-6.253, 2.711, -0.045], [0.780, -6.770, -0.108], [-0.074, -0.089, 5.018]], "species": ["As", "As", "As", "As", "As", "As", "Fe", "Fe", "Fe", "Fe", "Fe", "Fe", "Fe", "Fe", "Fe", "Fe"], "fractional_positions": [[0.608, 0.000, 0.250], [0.392, 0.000, 0.750], [0.000, 0.608, 0.250], [0.392, 0.392, 0.250], [0.608, 0.608, 0.750], [0.000, 0.392, 0.750], [0.333, 0.667, 0.000], [0.667, 0.333, 0.500], [0.667, 0.333, 0.000], [0.333, 0.667, 0.500], [0.242, 0.000, 0.250], [0.758, 0.000, 0.750], [0.000, 0.242, 0.250], [0.758, 0.758, 0.250], [0.242, 0.242, 0.750], [0.000, 0.758, 0.750]]}


Record 2
{"formula": "TiZn2Br", "functional": "PBE", "state": "optimized geometry", "space_group": "Fm-3m (225)", "formation_energy_uncorrected_ev_per_atom": 0.55, "e_above_lowest_polymorph_mev_per_atom": 354, "cell": [[0.000, 3.472, 3.472], [3.472, 0.000, 3.472], [3.472, 3.472, 0.000]], "species": ["Zn", "Zn", "Br", "Ti"], "fractional_positions": [[0.250, 0.250, 0.250], [0.750, 0.750, 0.750], [0.500, 0.500, 0.500], [0.000, 0.000, 0.000]]}


Record 3
{"formula": "LaSc2Ni", "functional": "PBE", "state": "optimized geometry", "space_group": "R3m (160)", "e_above_lowest_polymorph_mev_per_atom": 113, "cell": [[3.685, 0.000, 0.000], [1.843, 3.192, 0.000], [1.843, 1.064, 8.562]], "species": ["La", "Sc", "Sc", "Ni"], "fractional_positions": [[0.502, 0.502, 0.493], [0.054, 0.054, 0.838], [0.278, 0.278, 0.166], [0.666, 0.666, 0.003]]}


Record 4
{"formula": "Nb3PdRh2", "functional": "PBE", "state": "optimized geometry", "space_group": "Immm (71)", "e_above_lowest_polymorph_mev_per_atom": 406, "cell": [[2.783, 0.000, 0.000], [0.000, 4.960, 0.000], [-1.392, -2.480, 7.609]], "species": ["Nb", "Nb", "Nb", "Pd", "Rh", "Rh"], "fractional_positions": [[0.000, 0.500, 0.000], [0.817, 0.817, 0.633], [0.183, 0.183, 0.367], [0.000, 0.000, 0.000], [0.655, 0.655, 0.310], [0.345, 0.345, 0.690]]}


Record 5
{"formula": "U2GaTe5", "functional": "PBE", "state": "optimized geometry", "space_group": "Pbam (55)", "formation_energy_uncorrected_ev_per_atom": -0.51, "cell": [[-2.733, -0.436, -3.080], [2.172, -8.153, -0.774], [-9.251, -3.289, 8.675]], "species": ["U", "U", "U", "U", "Ga", "Ga", "Te", "Te", "Te", "Te", "Te", "Te", "Te", "Te", "Te", "Te"], "fractional_positions": [[0.500, 0.519, 0.178], [0.500, 0.481, 0.822], [0.500, 0.981, 0.678], [0.500, 0.019, 0.322], [0.000, 0.500, 0.500], [0.000, 0.000, 0.000], [0.000, 0.000, 0.500], [0.000, 0.500, 0.000], [0.000, 0.813, 0.190], [0.000, 0.187, 0.810], [0.000, 0.687, 0.690], [0.000, 0.313, 0.310], [0.500, 0.665, 0.397], [0.500, 0.335, 0.603], [0.500, 0.835, 0.897], [0.500, 0.165, 0.103]]}


Record 6
{"formula": "RbCoSiH2", "functional": "PBE", "state": "optimized geometry", "space_group": "P4/mmm (123)", "e_above_lowest_polymorph_mev_per_atom": 84, "cell": [[-2.394, -2.591, -1.290], [1.979, -0.243, -3.183], [3.850, -4.936, 2.771]], "species": ["H", "H", "Si", "Co", "Rb"], "fractional_positions": [[0.000, 0.500, 0.000], [0.500, 0.000, 0.000], [0.500, 0.500, 0.500], [0.000, 0.000, 0.500], [0.000, 0.000, 0.000]]}


Which formula does entry 4 have? Nb3PdRh2